[1]
# RbNbTl3

Crystalline RbNbTl3 at its relaxed geometry (PBE, Alexandria).

Geometry as CIF:
```
data_RbNbTl3
_chemical_formula_sum 'Rb1 Nb1 Tl3'
_space_group_name_H-M_alt 'P m -3 m'
_space_group_IT_number 221
_space_group_name_Hall '-P 4 2 3'
_cell_length_a 6.1036
_cell_length_b 6.1036
_cell_length_c 6.1036
_cell_angle_alpha 90.00
_cell_angle_beta 90.00
_cell_angle_gamma 90.00
loop_
_atom_site_label
_atom_site_fract_x
_atom_site_fract_y
_atom_site_fract_z
_atom_site_occupancy
Rb1 0.0000 0.0000 0.0000 1
Nb1 0.5000 0.5000 0.5000 1
Tl1 0.0000 0.0000 0.5000 1
```

Results
crystal system	cubic
energy above the most stable polymorph in this dataset	1360	meV per atom
calculated volume	45.48	A^3/atom
formation energy from the elements	1.6299	eV/atom

[2]
# Rb2Nb2Tl

Crystalline Rb2Nb2Tl at its relaxed geometry (PBE, Alexandria).

Geometry as CIF:
```
data_Rb2Nb2Tl
_chemical_formula_sum 'Rb4 Nb4 Tl2'
_space_group_name_H-M_alt 'I 4/m m m'
_space_group_IT_number 139
_space_group_name_Hall '-I 4 2'
_cell_length_a 4.3762
_cell_length_b 4.3762
_cell_length_c 16.5844
_cell_angle_alpha 90.00
_cell_angle_beta 90.00
_cell_angle_gamma 90.00
loop_
_atom_site_label
_atom_site_fract_x
_atom_site_fract_y
_atom_site_fract_z
_atom_site_occupancy
Rb1 0.0000 0.5000 0.2500 1
Nb1 0.0000 0.0000 0.0654 1
Tl1 0.0000 0.0000 0.5000 1
```

Results
crystal system	tetragonal
energy above the most stable polymorph in this dataset	36	meV per atom
calculated volume	31.76	A^3/atom
formation energy from the elements	1.2193	eV/atom

[3]
# Rb2NbTl

Crystalline Rb2NbTl at its relaxed geometry (PBE, Alexandria).

Geometry as CIF:
```
data_Rb2NbTl
_chemical_formula_sum 'Rb8 Nb4 Tl4'
_space_group_name_H-M_alt 'F m -3 m'
_space_group_IT_number 225
_space_group_name_Hall '-F 4 2 3'
_cell_length_a 8.8123
_cell_length_b 8.8123
_cell_length_c 8.8123
_cell_angle_alpha 90.00
_cell_angle_beta 90.00
_cell_angle_gamma 90.00
loop_
_atom_site_label
_atom_site_fract_x
_atom_site_fract_y
_atom_site_fract_z
_atom_site_occupancy
Rb1 0.2500 0.2500 0.2500 1
Nb1 0.0000 0.0000 0.0000 1
Tl1 0.0000 0.0000 0.5000 1
```

Results
crystal system	cubic
energy above the most stable polymorph in this dataset	67	meV per atom
calculated volume	42.77	A^3/atom
formation energy from the elements	1.1814	eV/atom

[4]
# Rb3NbTl

Crystalline Rb3NbTl at its relaxed geometry (PBE, Alexandria).

Geometry as CIF:
```
data_Rb3NbTl
_chemical_formula_sum 'Rb3 Nb1 Tl1'
_space_group_name_H-M_alt 'P m -3 m'
_space_group_IT_number 221
_space_group_name_Hall '-P 4 2 3'
_cell_length_a 6.9384
_cell_length_b 6.9384
_cell_length_c 6.9384
_cell_angle_alpha 90.00
_cell_angle_beta 90.00
_cell_angle_gamma 90.00
loop_
_atom_site_label
_atom_site_fract_x
_atom_site_fract_y
_atom_site_fract_z
_atom_site_occupancy
Rb1 0.0000 0.0000 0.5000 1
Nb1 0.0000 0.0000 0.0000 1
Tl1 0.5000 0.5000 0.5000 1
```

Results
crystal system	cubic
energy above the most stable polymorph in this dataset	0	meV per atom
calculated volume	66.81	A^3/atom
formation energy from the elements	1.1563	eV/atom

[5]
# RbNbTl3

Crystalline RbNbTl3 at its relaxed geometry (PBE, Alexandria).

Geometry as CIF:
```
data_RbNbTl3
_chemical_formula_sum 'Rb1 Nb1 Tl3'
_space_group_name_H-M_alt 'P m -3 m'
_space_group_IT_number 221
_space_group_name_Hall '-P 4 2 3'
_cell_length_a 5.6054
_cell_length_b 5.6054
_cell_length_c 5.6054
_cell_angle_alpha 90.00
_cell_angle_beta 90.00
_cell_angle_gamma 90.00
loop_
_atom_site_label
_atom_site_fract_x
_atom_site_fract_y
_atom_site_fract_z
_atom_site_occupancy
Rb1 0.0000 0.0000 0.0000 1
Nb1 0.5000 0.5000 0.5000 1
Tl1 0.0000 0.5000 0.5000 1
```

Results
crystal system	cubic
energy above the most stable polymorph in this dataset	0	meV per atom
calculated volume	35.22	A^3/atom
formation energy from the elements	0.2695	eV/atom

[6]
# RbNbTl2

Crystalline RbNbTl2 at its relaxed geometry (PBE, Alexandria).

Geometry as CIF:
```
data_RbNbTl2
_chemical_formula_sum 'Rb4 Nb4 Tl8'
_space_group_name_H-M_alt 'F m -3 m'
_space_group_IT_number 225
_space_group_name_Hall '-F 4 2 3'
_cell_length_a 7.7642
_cell_length_b 7.7642
_cell_length_c 7.7642
_cell_angle_alpha 90.00
_cell_angle_beta 90.00
_cell_angle_gamma 90.00
loop_
_atom_site_label
_atom_site_fract_x
_atom_site_fract_y
_atom_site_fract_z
_atom_site_occupancy
Rb1 0.0000 0.0000 0.0000 1
Nb1 0.0000 0.0000 0.5000 1
Tl1 0.2500 0.2500 0.2500 1
```

Results
crystal system	cubic
energy above the most stable polymorph in this dataset	0	meV per atom
calculated volume	29.25	A^3/atom
formation energy from the elements	0.8046	eV/atom